# NpVPbO6 | Alexandria | GGA+U | relaxed
# Space group   No. 163
# Total DFT energy (no corrections)   -73.41 eV per formula unit
# Spin magnetization   2.00 μB/f.u.
data_NpVPbO6
_chemical_formula_sum 'Np2 V2 Pb2 O12'
_cell_length_a 5.430
_cell_length_b 5.430
_cell_length_c 10.686
_cell_angle_alpha 90.00
_cell_angle_beta 90.00
_cell_angle_gamma 120.00
_symmetry_space_group_name_H-M 'P 1'
_symmetry_Int_Tables_number 1
loop_
_symmetry_equiv_pos_as_xyz
'x,y,z'
loop_
_atom_site_label
_atom_site_fract_x
_atom_site_fract_y
_atom_site_fract_z
Np1 0.333 0.667 0.250
Np2 0.667 0.333 0.750
V1 0.333 0.667 0.750
V2 0.667 0.333 0.250
Pb1 0.000 0.000 0.000
Pb2 0.000 0.000 0.500
O1 0.014 0.379 0.649
O2 0.014 0.635 0.851
O3 0.365 0.379 0.851
O4 0.365 0.986 0.649
O5 0.379 0.014 0.149
O6 0.379 0.365 0.351
O7 0.621 0.635 0.649
O8 0.621 0.986 0.851
O9 0.635 0.014 0.351
O10 0.635 0.621 0.149
O11 0.986 0.365 0.149
O12 0.986 0.621 0.351